1.
A plane-wave DFT calculation with PBE was carried out for a relaxed Ba2CdSn crystal.

Values from the calculation:
energy of formation from the pure elements = -50.7 kJ per mole of atoms
total magnetization = 0.00 Bohr magnetons per cell
space group = Fm-3m, No. 225
theoretical density = 5.44 Mg/m³
final energy = -10.87 eV/cell
DOS(E_F) = 0.074 states/eV/f.u.

POSCAR file:
```
Ba2CdSn
1.0
0.0000 4.2576 4.2576
4.2576 0.0000 4.2576
4.2576 4.2576 0.0000
Ba Cd Sn
2 1 1
direct
0.2500 0.2500 0.2500
0.7500 0.7500 0.7500
0.0000 0.0000 0.0000
0.5000 0.5000 0.5000
```

---

2.
A plane-wave DFT calculation with PBE was carried out for a relaxed Dy6Sb3AsP2 crystal.

Values from the calculation:
raw formation energy = -16.0 eV per formula unit
total magnetization = 0.00 Bohr magnetons per cell
space group = C2/m, No. 12
theoretical density = 7.74 Mg/m³
final energy = -71.43 eV/cell
DOS(E_F) = 1.907 states/eV/f.u.

POSCAR file:
```
Dy6Sb3AsP2
1.0
9.2185 -2.0912 0.0000
9.2185 2.0912 0.0000
-2.1065 0.0000 8.2152
Dy Sb As P
6 3 1 2
direct
0.0066 0.0066 0.2417
0.3275 0.3275 0.4308
0.3362 0.3362 0.9013
0.6638 0.6638 0.0987
0.6725 0.6725 0.5692
0.9934 0.9934 0.7583
0.1655 0.1655 0.8322
0.5000 0.5000 0.5000
0.8345 0.8345 0.1678
0.5000 0.5000 0.0000
0.1673 0.1673 0.3339
0.8327 0.8327 0.6661
```